This record from the Alexandria database describes a relaxed structure of SbMo2. The functional is PBE.

It has space group P-3m1 (No. 164), with a = 3.1450 Å, b = 3.1450 Å, c = 6.5853 Å, α = 90.00°, β = 90.00° and γ = 120.00°. The distinct sites, in fractional coordinates, are Sb at (0.0000, 0.0000, 0.0000) and Mo at (0.3333, 0.6667, 0.3636).

For the energy relative to the elements, uncorrected, the calculation gives 348 meV per atom. The calculation puts the energy above the lowest structure with this stoichiometry at 0.1480 eV/atom. As for the total energy: -8.247 eV/atom. As for the total moment: 0.0 μB/f.u. The value obtained for the volume is 18.8 Å³/atom.